DFT (PBE-GGA) results for Ta2BeCl after structural relaxation.

Formation energy without anion corrections   0.516 eV per atom
Final energy   -6.803 eV/atom
M_tot   0.00 μB per cell

a = 6.1311 Å, b = 7.0829 Å, c = 2.8823 Å
α = 90.00°, β = 104.93°, γ = 90.00°
With the nearest neighbours (Å) after each atom.
Space group C2/m (No. 12)
Inequivalent atoms, fractional coordinates:
Ta 0.2500 0.2500 0.0000 x4  2 Cl 2.53, 2 Be 2.53
Be 0.0000 0.0000 0.5000 x2  4 Ta 2.53
Cl 0.0000 0.5000 0.5000 x2  4 Ta 2.53